[1]
Compound: MgNiBiO4
Source: Alexandria via LeMat-Bulk
Functional: PBE with a Hubbard U
Structure: relaxed

Properties
- total magnetic moment (μB/cell) = 0.15
- calculated density (g/cm3) = 6.4
- space group = Imma, No. 74
- raw total energy (eV/atom) = -5.28
- V (A^3/atom) = 13.3

a = 6.464 Å, b = 6.464 Å, c = 6.464 Å
α = 126.29°, β = 115.85°, γ = 88.40°
Atoms (fractional coordinates):
1 Mg 0.460 0.210 0.250
2 Mg 0.540 0.790 0.750
3 Ni 0.000 0.000 0.500
4 Ni 0.000 0.500 0.000
5 Bi 0.000 0.500 0.500
6 Bi 0.500 0.500 0.000
7 O 0.174 0.740 0.435
8 O 0.195 0.260 0.935
9 O 0.330 0.354 0.524
10 O 0.330 0.805 0.976
11 O 0.670 0.195 0.024
12 O 0.670 0.646 0.476
13 O 0.805 0.740 0.065
14 O 0.826 0.260 0.565



[2]
Compound: MgNi2BiO6
Source: Alexandria via LeMat-Bulk
Functional: PBE with a Hubbard U
Structure: relaxed

Properties
- total magnetic moment (μB/cell) = 3.00
- calculated density (g/cm3) = 6.6
- space group = P1, No. 1
- raw total energy (eV/atom) = -5.26
- V (A^3/atom) = 11.2

a = 5.250 Å, b = 5.253 Å, c = 5.580 Å
α = 118.02°, β = 90.01°, γ = 119.97°
Atoms (fractional coordinates):
1 Mg 0.000 0.000 0.000
2 Ni 0.207 0.414 0.621
3 Ni 0.706 0.412 0.118
4 Bi 0.503 0.005 0.507
5 O 0.086 0.501 0.326
6 O 0.318 0.240 0.830
7 O 0.416 0.241 0.326
8 O 0.590 0.908 0.830
9 O 0.825 0.911 0.326
10 O 0.922 0.512 0.830



[3]
Compound: MgNiBi2O6
Source: Alexandria via LeMat-Bulk
Functional: PBE with a Hubbard U
Structure: relaxed

Properties
- total magnetic moment (μB/cell) = 3.81
- calculated density (g/cm3) = 8.1
- space group = P2_1/c, No. 14
- raw total energy (eV/atom) = -5.48
- V (A^3/atom) = 12.2

a = 5.408 Å, b = 5.739 Å, c = 9.485 Å
α = 90.00°, β = 123.93°, γ = 90.00°
Atoms (fractional coordinates):
1 Mg 0.000 0.000 0.000
2 Mg 0.000 0.500 0.500
3 Ni 0.500 0.000 0.500
4 Ni 0.500 0.500 0.000
5 Bi 0.216 0.061 0.733
6 Bi 0.216 0.439 0.233
7 Bi 0.784 0.561 0.767
8 Bi 0.784 0.939 0.267
9 O 0.129 0.181 0.454
10 O 0.129 0.319 0.954
11 O 0.228 0.695 0.419
12 O 0.228 0.805 0.919
13 O 0.386 0.062 0.254
14 O 0.386 0.438 0.754
15 O 0.614 0.562 0.246
16 O 0.614 0.938 0.746
17 O 0.772 0.195 0.081
18 O 0.772 0.305 0.581
19 O 0.871 0.681 0.046
20 O 0.871 0.819 0.546



[4]
Compound: Mg6NiBiO8
Source: Alexandria via LeMat-Bulk
Functional: PBE with a Hubbard U
Structure: relaxed

Properties
- energy relative to the lowest polymorph listed for this composition (eV per atom) = 0.047
- total magnetic moment (μB/cell) = 1.15
- calculated density (g/cm3) = 5.0
- space group = P4/mmm, No. 123
- raw total energy (eV/atom) = -5.49
- V (A^3/atom) = 11.2

a = 4.485 Å, b = 4.485 Å, c = 8.897 Å
α = 90.00°, β = 90.00°, γ = 90.00°
Atoms (fractional coordinates):
1 Mg 0.000 0.000 0.000
2 Mg 0.000 0.000 0.500
3 Mg 0.000 0.500 0.224
4 Mg 0.000 0.500 0.776
5 Mg 0.500 0.000 0.224
6 Mg 0.500 0.000 0.776
7 Ni 0.500 0.500 0.000
8 Bi 0.500 0.500 0.500
9 O 0.000 0.000 0.252
10 O 0.000 0.000 0.748
11 O 0.000 0.500 0.000
12 O 0.000 0.500 0.500
13 O 0.500 0.000 0.000
14 O 0.500 0.000 0.500
15 O 0.500 0.500 0.239
16 O 0.500 0.500 0.761



[5]
Compound: Mg6NiBiO8
Source: Alexandria via LeMat-Bulk
Functional: PBE with a Hubbard U
Structure: relaxed

Properties
- energy relative to the lowest polymorph listed for this composition (eV per atom) = 0.000
- total magnetic moment (μB/cell) = 1.01
- calculated density (g/cm3) = 5.1
- space group = P4/mmm, No. 123
- raw total energy (eV/atom) = -5.54
- V (A^3/atom) = 11.0

a = 4.478 Å, b = 4.478 Å, c = 8.780 Å
α = 90.00°, β = 90.00°, γ = 90.00°
Atoms (fractional coordinates):
1 Mg 0.000 0.000 0.000
2 Mg 0.000 0.500 0.239
3 Mg 0.000 0.500 0.761
4 Mg 0.500 0.000 0.239
5 Mg 0.500 0.000 0.761
6 Mg 0.500 0.500 0.000
7 Ni 0.000 0.000 0.500
8 Bi 0.500 0.500 0.500
9 O 0.000 0.000 0.236
10 O 0.000 0.000 0.764
11 O 0.000 0.500 0.000
12 O 0.000 0.500 0.500
13 O 0.500 0.000 0.000
14 O 0.500 0.000 0.500
15 O 0.500 0.500 0.231
16 O 0.500 0.500 0.769



Number 5 is which compound? Mg6NiBiO8